(1)
SiPtRh2 | the Alexandria database | PBE | optimized geometry; space group = P4/mmm; uncorrected formation energy = -0.495 eV per atom; final energy = -7.04 eV per atom; magnetization = 0.00 μB per formula unit
1.0
2.826 0.000 0.000
0.000 2.826 0.000
0.000 0.000 7.004
Si Pt Rh
1 1 2
Direct
0.000 0.000 0.000 Si
0.000 0.000 0.500 Pt
0.500 0.500 0.205 Rh
0.500 0.500 0.795 Rh



(2)
Nd2InPb4 | the Alexandria database | PBE | optimized geometry; space group = Cmmm; final energy = -4.23 eV per atom; formation enthalpy at 0 K = -360.2 meV/atom; magnetization = 0.00 μB per formula unit
1.0
4.713 -4.914 0.000
4.713 4.914 0.000
0.000 0.000 4.727
Nd In Pb
2 1 4
Direct
0.245 0.755 0.000 Nd
0.755 0.245 0.000 Nd
0.000 0.000 0.500 In
0.000 0.500 0.500 Pb
0.264 0.264 0.000 Pb
0.500 0.000 0.500 Pb
0.736 0.736 0.000 Pb



(3)
NpTl2Cd2Te4 | the Alexandria database | PBE | optimized geometry; space group = C2/m; uncorrected formation energy = -0.365 eV per atom; final energy = -3.93 eV per atom; magnetization = 4.54 μB per formula unit
1.0
8.239 -2.250 0.000
8.239 2.250 0.000
-2.457 0.000 8.129
Np Tl Cd Te
1 2 2 4
Direct
0.000 0.000 0.000 Np
0.126 0.126 0.555 Tl
0.874 0.874 0.445 Tl
0.334 0.334 0.020 Cd
0.666 0.666 0.980 Cd
0.206 0.206 0.205 Te
0.496 0.496 0.260 Te
0.504 0.504 0.740 Te
0.794 0.794 0.795 Te



(4)
Ba3Ga4O9 | the Alexandria database | PBE | optimized geometry; space group = P-1; uncorrected formation energy = -2.293 eV per atom; final energy = -6.20 eV per atom; magnetization = 0.00 μB per formula unit
1.0
7.131 0.000 0.000
2.312 8.072 0.000
2.853 0.092 9.684
Ba Ga O
6 8 18
Direct
0.052 0.057 0.188 Ba
0.178 0.564 0.161 Ba
0.299 0.216 0.464 Ba
0.701 0.784 0.536 Ba
0.822 0.436 0.839 Ba
0.948 0.943 0.812 Ba
0.260 0.730 0.435 Ga
0.335 0.557 0.731 Ga
0.407 0.180 0.804 Ga
0.436 0.817 0.913 Ga
0.564 0.183 0.087 Ga
0.593 0.820 0.196 Ga
0.665 0.443 0.269 Ga
0.740 0.270 0.565 Ga
0.036 0.799 0.368 O
0.197 0.717 0.626 O
0.221 0.378 0.778 O
0.264 0.027 0.889 O
0.285 0.671 0.895 O
0.304 0.236 0.197 O
0.389 0.513 0.361 O
0.409 0.795 0.104 O
0.431 0.878 0.379 O
0.569 0.122 0.621 O
0.591 0.205 0.896 O
0.611 0.487 0.639 O
0.696 0.764 0.803 O
0.715 0.329 0.105 O
0.736 0.973 0.111 O
0.779 0.622 0.222 O
0.803 0.283 0.374 O
0.964 0.201 0.632 O



> What is the magnetization in the third record?

4.54 μB per formula unit